CsCoCu2I6 | PBE | relaxed

## Properties
For the uncorrected formation energy, the calculation gives -0.359 eV per atom. Its density is 4.34 g cm⁻³. For the size of the total moment, the calculation gives 0.337 μB/atom. The total energy is -2.904 eV per atom. As for the density of states at the Fermi level: 22.7 states/eV/cell.

Structure (CIF):
```
data_CsCoCu2I6
_cell_length_a 7.848
_cell_length_b 10.764
_cell_length_c 10.764
_cell_angle_alpha 85.54
_cell_angle_beta 72.43
_cell_angle_gamma 72.43
_symmetry_space_group_name_H-M 'P 1'
_symmetry_Int_Tables_number 1
loop_
_symmetry_equiv_pos_as_xyz
'x,y,z'
loop_
_atom_site_label
_atom_site_fract_x
_atom_site_fract_y
_atom_site_fract_z
_atom_site_occupancy
Cs1 0.250 0.881 0.119 1
Cs2 0.750 0.119 0.881 1
Co1 0.250 0.260 0.740 1
Co2 0.750 0.740 0.260 1
Cu1 0.279 0.779 0.648 1
Cu2 0.221 0.352 0.221 1
Cu3 0.721 0.221 0.352 1
Cu4 0.779 0.648 0.779 1
I1 0.293 0.015 0.718 1
I2 0.207 0.282 0.985 1
I3 0.707 0.985 0.282 1
I4 0.793 0.718 0.015 1
I5 0.457 0.696 0.406 1
I6 0.043 0.594 0.304 1
I7 0.543 0.304 0.594 1
I8 0.957 0.406 0.696 1
I9 0.938 0.813 0.647 1
I10 0.562 0.353 0.187 1
I11 0.062 0.187 0.353 1
I12 0.438 0.647 0.813 1
```